Entry 1:
A plane-wave DFT calculation with GGA-PBE was carried out for an optimized crystal structure of Re2SiBr.

a = 2.899 Å, b = 2.899 Å, c = 8.697 Å
α = 90.00°, β = 90.00°, γ = 118.43°
Positions (direct):
Br 0.500 0.500 0.750
Si 0.500 0.500 0.250
Re 0.000 0.000 0.028
Re 0.000 0.000 0.472

Summary:
Offset from the most stable computed form   2.167 eV/f.u.
M_tot   0.000 μB per formula unit
E_form (uncorrected)   0.8288 eV/atom
Total energy   -7.169 eV per atom
Space-group type   Cmmm (65)



Entry 2:
A plane-wave DFT calculation with GGA-PBE was carried out for an optimized crystal structure of Tc4Br5.

a = 7.870 Å, b = 7.870 Å, c = 7.870 Å
α = 92.45°, β = 92.45°, γ = 156.15°
Positions (direct):
Br 0.665 0.665 0.329
Br 0.335 0.335 0.671
Br 0.335 0.665 0.000
Br 0.000 0.000 0.000
Br 0.665 0.335 0.000
Tc 0.000 0.373 0.373
Tc 0.000 0.627 0.627
Tc 0.373 0.000 0.373
Tc 0.627 0.000 0.627

Summary:
Offset from the most stable computed form   0.000 eV/f.u.
M_tot   0.000 μB per formula unit
E_form (uncorrected)   0.8085 eV/atom
Total energy   -4.728 eV per atom
Space-group type   I4/mmm (139)